Entry 1:
PBE TaSbTe2Pt, optimized geometry; spin magnetization = 0.00 μB/f.u.; symmetry = P4/mmm, No. 123; electronic total energy = -0.357 Ry/atom; E_form (uncorrected) = 805 meV/atom
1.0
5.265 0.000 0.000
0.000 5.265 0.000
0.000 0.000 5.353
Ta Sb Te Pt
1 1 2 1
Cartesian
0.000 0.000 0.000 Ta
0.000 0.000 2.677 Sb
0.000 2.632 0.000 Te
2.632 0.000 0.000 Te
2.632 2.632 2.677 Pt

Entry 2:
PBE LiZnAg, optimized geometry; spin magnetization = 0.00 μB/f.u.; symmetry = P2_1/m, No. 11; electronic total energy = -0.158 Ry/atom
1.0
2.878 0.000 0.000
0.000 4.526 0.000
-1.408 0.000 7.249
Li Zn Ag
2 2 2
Cartesian
0.015 1.131 3.200 Li
1.454 3.394 4.049 Li
0.028 3.394 6.372 Zn
1.442 1.131 0.877 Zn
0.001 3.394 1.580 Ag
1.469 1.131 5.669 Ag